Entry 1:
Entry from the Alexandria database: a geometry-optimized FePt2W structure (PBE).

a = 6.1920 Å, b = 6.1920 Å, c = 6.1920 Å
α = 90.00°, β = 90.00°, γ = 90.00°
Fractional positions:
Fe 0.0000 0.0000 0.0000
Fe 0.0000 0.5000 0.5000
Fe 0.5000 0.0000 0.5000
Fe 0.5000 0.5000 0.0000
Pt 0.2500 0.2500 0.2500
Pt 0.2500 0.2500 0.7500
Pt 0.2500 0.7500 0.2500
Pt 0.2500 0.7500 0.7500
Pt 0.7500 0.2500 0.2500
Pt 0.7500 0.2500 0.7500
Pt 0.7500 0.7500 0.2500
Pt 0.7500 0.7500 0.7500
W 0.0000 0.0000 0.5000
W 0.0000 0.5000 0.0000
W 0.5000 0.0000 0.0000
W 0.5000 0.5000 0.5000

Output
E_form in eV per atom: 0.27
Total magnetic moment in μB/atom: 0.000
Final energy in eV/cell: -129.75

***

Entry 2:
Entry from the Alexandria database: a geometry-optimized Fe2PtW structure (PBE).

a = 3.8143 Å, b = 3.8143 Å, c = 3.5684 Å
α = 90.00°, β = 90.00°, γ = 90.00°
Fractional positions:
Fe 0.0000 0.5000 0.0000
Fe 0.5000 0.0000 0.0000
Pt 0.0000 0.0000 0.5000
W 0.5000 0.5000 0.5000

Output
ΔE to the lowest computed polymorph in eV per atom: 0.028
E_form in eV per atom: -0.07
Total magnetic moment in μB/atom: 0.000
Final energy in eV/cell: -36.20